## Si2Cl (meta-GGA SCAN)

Data for Si2Cl at its PBEsol-relaxed geometry.

abc: 3.829 3.829 4.745
angles: 90.00 90.00 120.00
Atoms (fractional coordinates):
Cl 0.000 0.000 0.000
Si 0.667 0.333 0.572
Si 0.333 0.667 0.428

Results
- Spin magnetization: 0.00 μB/f.u.
- ΔE_f (raw): 0.2328 eV/atom
- Space group: No. 164
- VASP energy: -0.6691 Ry per atom



## SiCl3 (meta-GGA SCAN)

Data for SiCl3 at its PBEsol-relaxed geometry.

abc: 5.308 5.308 5.308
angles: 90.00 90.00 90.00
Atoms (fractional coordinates):
Cl 0.500 0.000 0.750
Cl 0.500 0.000 0.250
Cl 0.000 0.750 0.500
Cl 0.000 0.250 0.500
Cl 0.750 0.500 0.000
Cl 0.250 0.500 0.000
Si 0.500 0.500 0.500
Si 0.000 0.000 0.000

Results
- Spin magnetization: 0.00 μB/f.u.
- ΔE_f (raw): 0.1403 eV/atom
- Space group: No. 223
- VASP energy: -0.6135 Ry per atom



## Si2Sn2Cl (meta-GGA SCAN)

Data for Si2Sn2Cl at its PBEsol-relaxed geometry.

abc: 3.625 3.625 8.833
angles: 101.84 101.84 90.00
Atoms (fractional coordinates):
Sn 0.384 0.384 0.767
Sn 0.616 0.616 0.233
Si 0.750 0.250 0.500
Si 0.250 0.750 0.500
Cl 0.000 0.000 0.000

Results
- Spin magnetization: 0.00 μB/f.u.
- ΔE_f (raw): 0.0669 eV/atom
- Space group: No. 139
- VASP energy: -1.4629 Ry per atom